First-principles (PBE) data for Ag3C after structural relaxation, as listed in the Alexandria database.

Summary:
E (eV/atom): -3.320
Fermi-level density of states (states/eV/f.u.): 2.06
SG: Imm2 (44)
V (Å³ per atom): 15.63
Energy relative to the elements (eV/atom): 1.1248

a = 4.941 Å, b = 4.941 Å, c = 4.941 Å
α = 143.30°, β = 117.78°, γ = 74.46°
Sites, in units of the cell vectors:
1 Ag 0.046 0.500 0.546
2 Ag 0.351 0.313 0.039
3 Ag 0.726 0.687 0.039
4 C 0.709 0.000 0.709


First-principles (PBE) data for SrEr2In3 after structural relaxation, as listed in the Alexandria database.

Summary:
E (eV/atom): -3.603
Fermi-level density of states (states/eV/f.u.): 3.62
SG: P4/mmm (123)
V (Å³ per atom): 28.40
Energy relative to the elements (eV/atom): -0.4323

a = 3.821 Å, b = 3.821 Å, c = 11.670 Å
α = 90.00°, β = 90.00°, γ = 90.00°
Sites, in units of the cell vectors:
1 Er 0.500 0.500 0.844
2 Er 0.500 0.500 0.156
3 In 0.000 0.000 0.000
4 In 0.000 0.000 0.692
5 In 0.000 0.000 0.308
6 Sr 0.500 0.500 0.500


First-principles (PBE) data for Pa2Sb after structural relaxation, as listed in the Alexandria database.

Summary:
E (eV/atom): -7.994
Fermi-level density of states (states/eV/f.u.): 6.22
SG: Cmcm (63)
V (Å³ per atom): 24.63
Formation energy without anion corrections (eV/atom): -0.289

a = 4.092 Å, b = 5.057 Å, c = 7.429 Å
α = 90.00°, β = 105.99°, γ = 90.00°
Sites, in units of the cell vectors:
1 Pa 0.093 0.750 0.186
2 Pa 0.267 0.250 0.534
3 Pa 0.733 0.750 0.466
4 Pa 0.907 0.250 0.814
5 Sb 0.410 0.750 0.821
6 Sb 0.590 0.250 0.179


Number 1: total magnetization 0.0 μB per cell. Number 2: total magnetization 0.0 μB per cell. Number 3: total magnetization 0.0 μB per cell.